(1)
A geometry-optimized CsSmBe2F8 structure, computed with PBE.

Unit cell a=5.173 b=5.173 c=8.934 alpha=85.31 beta=85.31 gamma=65.89
Each line ends with the local moment (μB).
Fractional coordinates of all 12 atoms:
Cs (0.000, 0.000, 0.500)  0.00
Sm (0.000, 0.000, 0.000)  0.00
Be (0.618, 0.618, 0.212)  0.00
Be (0.382, 0.382, 0.788)  0.00
F (0.713, 0.255, 0.815)  0.00
F (0.745, 0.745, 0.070)  0.00
F (0.680, 0.680, 0.362)  0.07
F (0.320, 0.320, 0.638)  0.07
F (0.255, 0.255, 0.930)  0.00
F (0.255, 0.713, 0.815)  0.00
F (0.745, 0.287, 0.185)  0.00
F (0.287, 0.745, 0.185)  0.00

Its formation energy (no corrections) is -3.484 eV/atom. The density of states at the Fermi level is 0.000 states/eV/atom. For the uncorrected energy, the calculation gives -69.802 eV/cell. The value obtained for the size of the total moment is 0.188 μB/cell. Its crystal system is monoclinic.

---

(2)
A geometry-optimized PmNdYCu structure, computed with PBE.

Unit cell a=3.577 b=3.577 c=8.776 alpha=90.00 beta=90.00 gamma=90.00
Fractional coordinates of all 4 atoms:
Pm (0.500, 0.500, 0.768)
Nd (0.000, 0.000, 0.074)
Y (0.500, 0.500, 0.379)
Cu (0.000, 0.000, 0.564)

The density of states at the Fermi level is 1.002 states/eV/atom. For the uncorrected energy, the calculation gives -20.404 eV/cell. The value obtained for the size of the total moment is 0.000 μB/cell. Its crystal system is tetragonal. Its formation energy is -0.0814 eV/atom.

---

(3)
A geometry-optimized SrLaAs structure, computed with PBE.

Unit cell a=4.348 b=4.348 c=7.222 alpha=90.00 beta=90.00 gamma=120.00
Each line ends with the local moment (μB).
Fractional coordinates of all 3 atoms:
Sr (0.333, 0.667, 0.749)  0.01
As (0.000, 0.000, 0.017)  -0.01
La (0.667, 0.333, 0.233)  0.09

The density of states at the Fermi level is 0.765 states/eV/atom. For the uncorrected energy, the calculation gives -13.851 eV/cell. The value obtained for the size of the total moment is 0.329 μB/cell. Its crystal system is trigonal. Its formation energy is -0.8642 eV/atom.

---

(4)
A geometry-optimized La6Au2S structure, computed with PBE.

Unit cell a=6.961 b=7.698 c=10.796 alpha=90.00 beta=88.29 gamma=90.00
Fractional coordinates of all 18 atoms:
La (0.152, 0.032, 0.250)
La (0.169, 0.324, 0.565)
La (0.163, 0.310, 0.934)
La (0.337, 0.810, 0.566)
La (0.331, 0.824, 0.935)
La (0.348, 0.532, 0.250)
La (0.848, 0.968, 0.750)
La (0.831, 0.676, 0.435)
La (0.837, 0.690, 0.066)
La (0.663, 0.190, 0.434)
La (0.669, 0.176, 0.065)
La (0.652, 0.468, 0.750)
Au (0.070, 0.615, 0.758)
Au (0.430, 0.115, 0.742)
Au (0.570, 0.885, 0.258)
Au (0.930, 0.385, 0.242)
S (0.500, 0.500, 0.000)
S (0.000, 0.000, 0.500)

Its formation energy (no corrections) is -0.800 eV/atom. The density of states at the Fermi level is 1.206 states/eV/atom. For the uncorrected energy, the calculation gives -94.891 eV/cell. The value obtained for the size of the total moment is 0.000 μB/cell. Its crystal system is monoclinic.

---

(5)
A geometry-optimized Nd6Sm3Dy2Sc structure, computed with PBE.

Unit cell a=6.274 b=6.274 c=11.882 alpha=95.04 beta=95.04 gamma=120.01
Fractional coordinates of all 12 atoms:
Nd (0.919, 0.588, 0.755)
Nd (0.751, 0.751, 0.245)
Nd (0.081, 0.412, 0.245)
Nd (0.588, 0.919, 0.755)
Nd (0.249, 0.249, 0.755)
Nd (0.412, 0.081, 0.245)
Sm (0.167, 0.833, 0.500)
Sm (0.833, 0.167, 0.500)
Sm (0.500, 0.500, 0.500)
Dy (0.333, 0.667, 0.000)
Dy (0.667, 0.333, 0.000)
Sc (0.000, 0.000, 0.000)

The density of states at the Fermi level is 1.263 states/eV/atom. For the uncorrected energy, the calculation gives -57.992 eV/cell. The value obtained for the size of the total moment is 0.000 μB/cell. Its crystal system is monoclinic. Its formation energy is 0.0257 eV/atom.

---

(6)
A geometry-optimized ScTlSeCl2 structure, computed with PBE.

Unit cell a=5.079 b=5.079 c=5.263 alpha=90.00 beta=90.00 gamma=90.00
Fractional coordinates of all 5 atoms:
Sc (0.000, 0.000, 0.000)
Tl (0.500, 0.500, 0.500)
Se (0.000, 0.000, 0.500)
Cl (0.000, 0.500, 0.000)
Cl (0.500, 0.000, 0.000)

Its formation energy (no corrections) is -1.458 eV/atom. For the uncorrected energy, the calculation gives -23.164 eV/cell. The value obtained for the size of the total moment is 0.000 μB/cell. Its crystal system is tetragonal.

---

(7)
A geometry-optimized Pm3As structure, computed with PBE.

Unit cell a=3.958 b=4.819 c=5.962 alpha=90.00 beta=90.00 gamma=90.00
Fractional coordinates of all 4 atoms:
As (0.000, 0.000, 0.995)
Pm (0.000, 0.500, 0.317)
Pm (0.500, 0.000, 0.468)
Pm (0.500, 0.500, 0.887)

The density of states at the Fermi level is 0.751 states/eV/atom. For the uncorrected energy, the calculation gives -20.608 eV/cell. The value obtained for the size of the total moment is 0.000 μB/cell. Its crystal system is orthorhombic. Its formation energy is -0.4268 eV/atom.

---

(8)
A geometry-optimized In2SeI2 structure, computed with PBE.

Unit cell a=4.248 b=12.937 c=8.062 alpha=85.12 beta=74.74 gamma=70.84
Fractional coordinates of all 10 atoms:
In (0.488, 0.751, 0.025)
In (0.769, 0.250, 0.458)
In (0.512, 0.249, 0.975)
In (0.231, 0.750, 0.542)
Se (0.829, 0.749, 0.348)
Se (0.171, 0.251, 0.652)
I (0.723, 0.420, 0.210)
I (0.936, 0.922, 0.789)
I (0.064, 0.078, 0.211)
I (0.277, 0.580, 0.790)

Its formation energy (no corrections) is -0.451 eV/atom. For the uncorrected energy, the calculation gives -28.631 eV/cell. The value obtained for the size of the total moment is 0.000 μB/cell. Its crystal system is triclinic.